HfTl2Te3 after structural relaxation, computed with PBE.

Cell lengths 13.273, 8.923, 7.711 Å; angles 90.00, 97.97, 90.00 degrees
Space group C2/c (No. 15)
Asymmetric unit:
Hf1 0.000 0.080 0.250
Tl1 0.157 0.338 0.647
Te1 0.000 0.384 0.250
Te2 0.147 0.053 0.002

## Properties
Raw formation energy in eV/f.u.: -3.08
Theoretical density in g/cm3: 7.1
Excess energy over the best structure of this formula in the dataset in meV per atom: 55
DFT total energy in eV per atom: -4.532
Magnetic moment in μB/f.u.: 0.0